DFT (PBE) results for a geometry-optimized ZrCoGeRu structure.

Computed properties:
The calculation puts the total DFT energy (no corrections) at -7.8166 eV per atom. The calculation puts the formation enthalpy at 0 K at -0.430 eV per atom.

Cell lengths 4.3904, 4.3904, 4.3904 Å; angles 60.00, 60.00, 60.00 degrees
Last column: magnetic moment on the atom in μB.
Atoms (fractional coordinates):
1 Ru 0.5000 0.5000 0.5000  0.24
2 Ge 0.2500 0.2500 0.2500  0.01
3 Co 0.0000 0.0000 0.0000  0.87
4 Zr 0.7500 0.7500 0.7500  -0.07



DFT (PBE) results for a geometry-optimized RbBaH2 structure.

Computed properties:
The calculation puts the total DFT energy (no corrections) at -2.6673 eV per atom. The excess energy over the best structure of this formula in the dataset comes out at 1 meV/atom.

Cell lengths 4.2526, 6.8019, 9.1654 Å; angles 90.77, 95.21, 90.03 degrees
Atoms (fractional coordinates):
1 Rb 0.7229 0.7528 0.1495
2 Rb 0.2771 0.2472 0.8505
3 Ba 0.2334 0.2586 0.4073
4 Ba 0.7666 0.7414 0.5927
5 H 0.7274 0.4822 0.3781
6 H 0.2726 0.5178 0.6219
7 H 0.2338 0.8611 0.4185
8 H 0.7662 0.1389 0.5815



DFT (PBE) results for a geometry-optimized BaLiAl2Cu structure.

Computed properties:
The calculation puts the total DFT energy (no corrections) at -3.1559 eV per atom. The calculation puts the formation enthalpy at 0 K at -0.072 eV per atom.

Cell lengths 4.7573, 4.7573, 5.1046 Å; angles 90.00, 90.00, 90.00 degrees
Atoms (fractional coordinates):
1 Li 0.0000 0.0000 0.5000
2 Ba 0.5000 0.5000 0.5000
3 Cu 0.0000 0.0000 0.0000
4 Al 0.0000 0.5000 0.0000
5 Al 0.5000 0.0000 0.0000



DFT (PBE) results for a geometry-optimized CaTbErIn structure.

Computed properties:
The calculation puts the total DFT energy (no corrections) at -3.6107 eV per atom. The calculation puts the formation enthalpy at 0 K at -0.127 eV per atom.

Cell lengths 5.4818, 5.4818, 5.4818 Å; angles 60.00, 60.00, 60.00 degrees
Atoms (fractional coordinates):
1 Ca 0.7500 0.7500 0.7500
2 In 0.2500 0.2500 0.2500
3 Tb 0.0000 0.0000 0.0000
4 Er 0.5000 0.5000 0.5000



DFT (PBE) results for a geometry-optimized AcMgPdAu structure.

Computed properties:
The calculation puts the total DFT energy (no corrections) at -4.1787 eV per atom. The excess energy over the best structure of this formula in the dataset comes out at 127 meV/atom. The calculation puts the formation enthalpy at 0 K at -0.635 eV per atom.

Cell lengths 5.1550, 5.1550, 5.1550 Å; angles 60.00, 60.00, 60.00 degrees
Atoms (fractional coordinates):
1 Ac 0.7500 0.7500 0.7500
2 Au 0.0000 0.0000 0.0000
3 Mg 0.2500 0.2500 0.2500
4 Pd 0.5000 0.5000 0.5000



DFT (PBE) results for a geometry-optimized Sr2LaAu structure.

Computed properties:
The calculation puts the total DFT energy (no corrections) at -2.9467 eV per atom. The excess energy over the best structure of this formula in the dataset comes out at 298 meV/atom. The calculation puts the formation enthalpy at 0 K at -0.055 eV per atom.

Cell lengths 6.7727, 6.7727, 6.7727 Å; angles 138.09, 138.09, 60.76 degrees
Atoms (fractional coordinates):
1 Au 0.2500 0.7500 0.5000
2 La 0.7500 0.2500 0.5000
3 Sr 0.0000 0.0000 0.0000
4 Sr 0.5000 0.5000 0.0000